(1)
Compound: Ba2CaTaPt
Source: the Alexandria database
Functional: PBE
Structure: relaxed

## Properties
The value obtained for the calculated formation energy is 0.30 eV/atom. Its space group is P4/mmm (123).

The structure in POSCAR format:
```
Ba2CaTaPt
1.0
6.297 0.000 0.000
0.000 5.053 0.000
0.000 0.000 6.297
Ca Ba Pt Ta
1 2 1 1
Cartesian
3.149 2.526 3.149 Ca
0.000 0.000 3.149 Ba
3.149 0.000 0.000 Ba
0.000 0.000 0.000 Pt
0.000 2.526 0.000 Ta
```

=====

(2)
Compound: La4Al2Tl
Source: the Alexandria database
Functional: PBE
Structure: relaxed

## Properties
The value obtained for the calculated formation energy is -0.25 eV/atom. Its space group is R-3m (166).

The structure in POSCAR format:
```
La4Al2Tl
1.0
5.150 0.000 1.609
2.324 4.596 1.609
-0.063 -0.039 9.250
Tl Al La
1 2 4
Cartesian
0.000 0.000 0.000 Tl
5.540 3.407 9.410 Al
1.871 1.151 3.058 Al
6.467 3.977 6.441 La
0.944 0.580 6.027 La
4.595 2.826 3.388 La
2.816 1.732 9.081 La
```

=====

(3)
Compound: PaTl2SbS6
Source: the Alexandria database
Functional: PBE
Structure: relaxed

## Properties
For the formation energy (no corrections), the calculation gives -13.611 kcal/mol of atoms. Its space group is R3 (146).

The structure in POSCAR format:
```
PaTl2SbS6
1.0
-3.247 -2.105 -6.037
2.035 -6.064 -3.243
-4.431 -5.809 0.144
Pa Tl Sb S
1 2 1 6
Cartesian
-3.390 -9.839 -7.528 Pa
-2.256 -6.555 -5.024 Tl
-4.165 -5.607 -0.067 Tl
-0.537 -2.823 -2.986 Sb
-2.818 -3.751 -4.016 S
0.298 -7.882 -4.069 S
-3.212 -7.242 -7.819 S
-3.359 -9.802 -4.838 S
-5.645 -6.449 -4.482 S
-2.785 -7.265 -1.705 S
```

=====

(4)
Compound: HoTmPb6
Source: the Alexandria database
Functional: PBE
Structure: relaxed

## Properties
The value obtained for the calculated formation energy is -0.24 eV/atom. Its space group is P4/mmm (123).

The structure in POSCAR format:
```
HoTmPb6
1.0
-2.174 3.804 -2.121
-2.983 0.426 3.822
6.345 6.014 4.282
Ho Tm Pb
1 1 6
Cartesian
3.173 3.007 2.141 Ho
0.000 0.000 0.000 Tm
-2.579 2.115 0.851 Pb
0.594 5.122 2.992 Pb
0.494 3.400 0.006 Pb
3.678 6.418 2.155 Pb
0.089 1.711 2.978 Pb
3.273 4.729 5.126 Pb
```

=====

(5)
Compound: NpGaBi2
Source: the Alexandria database
Functional: PBE
Structure: relaxed

## Properties
The value obtained for the calculated formation energy is 0.23 eV/atom. For the energy above the lowest structure with this stoichiometry, the calculation gives 0.247 eV per atom. Its space group is R-3m (166).

The structure in POSCAR format:
```
NpGaBi2
1.0
-0.296 0.006 3.306
0.330 -2.831 1.701
11.761 1.060 2.717
Np Bi Ga
1 2 1
Cartesian
5.898 -0.883 3.862 Np
8.665 0.532 2.441 Bi
3.130 -2.298 5.283 Bi
0.000 0.000 0.000 Ga
```

=====

(6)
Compound: SiTcAgTe2
Source: the Alexandria database
Functional: PBE
Structure: relaxed

## Properties
For the formation energy (no corrections), the calculation gives 21.406 kcal/mol of atoms. Its space group is P4/mmm (123).

The structure in POSCAR format:
```
SiTcAgTe2
1.0
-1.223 -4.321 2.410
1.871 -2.766 -4.009
4.598 -0.076 2.198
Si Te Tc Ag
1 2 1 1
Cartesian
2.623 -3.581 0.300 Si
2.299 -0.038 1.099 Te
-0.612 -2.161 1.205 Te
0.000 0.000 0.000 Tc
0.935 -1.383 -2.004 Ag
```

=====

(7)
Compound: AsSe2BrO
Source: the Alexandria database
Functional: PBE
Structure: relaxed

## Properties
For the formation energy (no corrections), the calculation gives 13.257 kcal/mol of atoms. For the energy above the lowest structure with this stoichiometry, the calculation gives 0.077 eV per atom. Its space group is P4/mmm (123).

The structure in POSCAR format:
```
AsSe2BrO
1.0
-2.785 1.754 2.476
-2.946 -0.758 -2.777
-1.342 -6.742 3.266
O As Se Br
1 1 2 1
Cartesian
0.000 0.000 0.000 O
-0.671 -3.371 1.633 As
-1.473 -0.379 -1.388 Se
-1.393 0.877 1.238 Se
-3.537 -2.873 1.483 Br
```

=====

(8)
Compound: KGaC
Source: the Alexandria database
Functional: PBE
Structure: relaxed

## Properties
The value obtained for the calculated formation energy is 0.30 eV/atom. Its space group is P1 (1).

The structure in POSCAR format:
```
KGaC
1.0
-1.919 1.566 -2.310
-3.660 -5.169 -2.925
-5.769 0.607 2.718
K C Ga
2 2 2
Cartesian
-5.550 0.659 -1.389 K
-7.695 -2.292 0.896 K
-8.634 -3.458 -1.599 C
-7.576 -2.999 -2.168 C
-0.843 0.300 -0.581 Ga
-5.455 -3.217 -1.594 Ga
```

=====

(9)
Compound: Pm3NdSb
Source: the Alexandria database
Functional: PBE
Structure: relaxed

## Properties
For the formation energy (no corrections), the calculation gives -8.861 kcal/mol of atoms. Its space group is Pnma (62).

The structure in POSCAR format:
```
Pm3NdSb
1.0
4.060 0.000 0.000
0.000 11.058 0.000
0.000 0.000 14.769
Pm Nd Sb
12 4 4
Cartesian
1.015 6.172 1.250 Pm
3.045 4.886 13.519 Pm
1.015 0.643 6.135 Pm
3.045 10.415 8.634 Pm
1.015 4.791 10.426 Pm
3.045 0.738 3.041 Pm
1.015 10.320 11.728 Pm
3.045 7.609 10.492 Pm
1.015 3.449 4.277 Pm
3.045 2.080 11.662 Pm
3.045 6.267 4.343 Pm
1.015 8.978 3.107 Pm
3.045 9.213 14.732 Nd
1.015 7.374 7.347 Nd
3.045 3.684 7.422 Nd
1.015 1.845 0.037 Nd
1.015 1.783 9.193 Sb
1.015 7.312 12.961 Sb
3.045 3.746 1.808 Sb
3.045 9.275 5.576 Sb
```

=====

(10)
Compound: CsCeCl6
Source: the Alexandria database
Functional: PBE
Structure: relaxed

## Properties
For the formation energy (no corrections), the calculation gives -37.712 kcal/mol of atoms. For the energy above the lowest structure with this stoichiometry, the calculation gives 0.000 eV per atom. Its space group is P4_2/m (84).

The structure in POSCAR format:
```
CsCeCl6
1.0
-3.312 -6.234 -2.209
4.326 -3.910 4.550
-7.336 1.093 7.914
Cs Ce Cl
2 2 12
Cartesian
-3.668 0.546 3.957 Cs
0.000 0.000 0.000 Cs
-4.995 -4.252 7.106 Ce
-1.327 -4.799 3.149 Ce
-1.684 -2.222 3.048 Cl
-1.548 -7.289 3.874 Cl
-7.174 -4.538 5.712 Cl
-3.394 -3.880 9.125 Cl
-4.638 -6.829 7.207 Cl
-4.774 -1.762 6.381 Cl
0.852 -4.513 4.544 Cl
-2.928 -5.171 1.131 Cl
-2.214 -4.376 5.984 Cl
-4.107 -4.675 4.271 Cl
0.484 -3.802 0.974 Cl
0.530 -6.342 1.367 Cl
```

=====

(11)
Compound: Tl3ZnW
Source: the Alexandria database
Functional: PBE
Structure: relaxed

## Properties
The value obtained for the calculated formation energy is 0.89 eV/atom. For the energy above the lowest structure with this stoichiometry, the calculation gives 0.000 eV per atom. Its space group is Pm-3m (221).

The structure in POSCAR format:
```
Tl3ZnW
1.0
5.443 0.000 0.000
0.000 5.443 0.000
0.000 0.000 5.443
Tl Zn W
3 1 1
Cartesian
0.000 2.722 0.000 Tl
0.000 0.000 2.722 Tl
2.722 0.000 0.000 Tl
2.722 2.722 2.722 Zn
0.000 0.000 0.000 W
```

=====

(12)
Compound: LiMgP2
Source: the Alexandria database
Functional: PBE
Structure: relaxed

## Properties
The value obtained for the calculated formation energy is -0.24 eV/atom. Its space group is Cmmm (65).

The structure in POSCAR format:
```
LiMgP2
1.0
4.730 0.056 -0.056
-1.237 4.566 -0.056
0.035 0.046 2.892
Li Mg P
1 1 2
Cartesian
2.382 0.051 1.418 Li
-0.601 2.306 1.418 Mg
0.000 0.000 0.000 P
1.747 2.311 -0.056 P
```

=====

(13)
Compound: PuUPaGa
Source: the Alexandria database
Functional: PBE
Structure: relaxed

## Properties
The value obtained for the calculated formation energy is 0.05 eV/atom. Its space group is F-43m (216).

The structure in POSCAR format:
```
PuUPaGa
1.0
4.899 0.000 0.000
2.450 4.243 0.000
2.450 1.414 4.000
Pa U Ga Pu
1 1 1 1
Cartesian
0.000 0.000 0.000 Pa
2.450 1.414 1.000 U
7.349 4.243 3.000 Ga
4.899 2.829 2.000 Pu
```